Computed, not measured: NiMoPb2 after structural relaxation at the PBE level of DFT.

Structure (POSCAR):
```
NiMoPb2
1.0
4.735 0.000 0.000
0.000 4.735 0.000
0.000 0.000 3.434
Ni Mo Pb
1 1 2
direct
0.000 0.000 0.000
0.500 0.500 0.000
0.000 0.500 0.500
0.500 0.000 0.500
```

Calculated values
total magnetic moment: 0.000 μB/atom
formation energy from the elements: 0.599 eV per atom
VASP energy: -5.41 eV per atom
energy relative to the lowest polymorph listed for this composition: 0.269 eV/atom

Computed, not measured: NiMoPb2 after structural relaxation at the PBE level of DFT.

Structure (POSCAR):
```
NiMoPb2
1.0
1.839 -2.608 0.000
1.839 2.608 0.000
0.000 0.000 8.322
Ni Mo Pb
1 1 2
direct
0.000 0.000 0.000
0.000 0.000 0.500
0.500 0.500 0.234
0.500 0.500 0.766
```

Calculated values
total magnetic moment: 0.000 μB/atom
formation energy from the elements: 0.681 eV per atom
VASP energy: -5.33 eV per atom
energy relative to the lowest polymorph listed for this composition: 0.351 eV/atom

Computed, not measured: NiMoPb after structural relaxation at the PBE level of DFT.

Structure (POSCAR):
```
NiMoPb
1.0
0.000 2.173 5.673
2.118 0.000 5.673
2.118 2.173 0.000
Ni Mo Pb
1 1 1
direct
0.000 0.000 0.000
0.627 0.627 0.373
0.324 0.324 0.676
```

Calculated values
total magnetic moment: 0.000 μB/atom
formation energy from the elements: 0.500 eV per atom
VASP energy: -6.27 eV per atom
energy relative to the lowest polymorph listed for this composition: 0.000 eV/atom

Computed, not measured: NiMoPb after structural relaxation at the PBE level of DFT.

Structure (POSCAR):
```
NiMoPb
1.0
0.000 3.035 3.035
3.035 0.000 3.035
3.035 3.035 0.000
Ni Mo Pb
1 1 1
direct
0.000 0.000 0.000
0.750 0.750 0.750
0.250 0.250 0.250
```

Calculated values
total magnetic moment: 0.654 μB/atom
formation energy from the elements: 0.561 eV per atom
VASP energy: -6.21 eV per atom
energy relative to the lowest polymorph listed for this composition: 0.060 eV/atom

Computed, not measured: NiMo2Pb after structural relaxation at the PBE level of DFT.

Structure (POSCAR):
```
NiMo2Pb
1.0
-1.921 1.921 4.445
1.921 -1.921 4.445
1.921 1.921 -4.445
Ni Mo Pb
1 2 1
direct
0.000 0.000 0.000
0.250 0.750 0.500
0.750 0.250 0.500
0.500 0.500 0.000
```

Calculated values
total magnetic moment: 0.000 μB/atom
formation energy from the elements: 0.429 eV per atom
VASP energy: -7.36 eV per atom

Computed, not measured: NiMo2Pb after structural relaxation at the PBE level of DFT.

Structure (POSCAR):
```
NiMo2Pb
1.0
4.640 -1.730 0.000
4.640 1.730 0.000
-1.975 0.000 4.130
Ni Mo Pb
1 2 1
direct
0.000 0.000 0.000
0.251 0.251 0.718
0.515 0.515 0.513
0.741 0.741 0.209
```

Calculated values
total magnetic moment: 0.000 μB/atom
formation energy from the elements: 0.450 eV per atom
VASP energy: -7.34 eV per atom

Computed, not measured: NiMoPb2 after structural relaxation at the PBE level of DFT.

Structure (POSCAR):
```
NiMoPb2
1.0
-1.997 1.997 4.948
1.997 -1.997 4.948
1.997 1.997 -4.948
Ni Mo Pb
1 1 2
direct
0.000 0.000 0.000
0.750 0.250 0.500
0.250 0.750 0.500
0.500 0.500 0.000
```

Calculated values
total magnetic moment: 0.286 μB/atom
formation energy from the elements: 0.677 eV per atom
VASP energy: -5.33 eV per atom
energy relative to the lowest polymorph listed for this composition: 0.347 eV/atom

Computed, not measured: NiMo3Pb after structural relaxation at the PBE level of DFT.

Structure (POSCAR):
```
NiMo3Pb
1.0
4.555 0.000 0.000
0.000 4.555 0.000
0.000 0.000 4.555
Ni Mo Pb
1 3 1
direct
0.000 0.000 0.000
0.000 0.000 0.500
0.000 0.500 0.000
0.500 0.000 0.000
0.500 0.500 0.500
```

Calculated values
total magnetic moment: 0.000 μB/atom
formation energy from the elements: 1.222 eV per atom
VASP energy: -7.17 eV per atom
energy relative to the lowest polymorph listed for this composition: 0.000 eV/atom

Computed, not measured: NiMo2Pb after structural relaxation at the PBE level of DFT.

Structure (POSCAR):
```
NiMo2Pb
1.0
3.301 0.000 0.000
0.000 3.301 0.000
0.000 0.000 6.238
Ni Mo Pb
1 2 1
direct
0.000 0.000 0.000
0.000 0.000 0.570
0.500 0.500 0.774
0.500 0.500 0.252
```

Calculated values
total magnetic moment: 0.000 μB/atom
formation energy from the elements: 0.357 eV per atom
VASP energy: -7.43 eV per atom

Computed, not measured: NiMoPb2 after structural relaxation at the PBE level of DFT.

Structure (POSCAR):
```
NiMoPb2
1.0
4.167 0.000 0.000
0.000 1.899 5.178
0.000 -1.899 5.178
Ni Mo Pb
1 1 2
direct
0.000 0.000 0.000
0.500 0.872 0.872
0.000 0.289 0.289
0.500 0.587 0.587
```

Calculated values
total magnetic moment: 0.000 μB/atom
formation energy from the elements: 0.402 eV per atom
VASP energy: -5.60 eV per atom
energy relative to the lowest polymorph listed for this composition: 0.073 eV/atom

Computed, not measured: NiMo2Pb after structural relaxation at the PBE level of DFT.

Structure (POSCAR):
```
NiMo2Pb
1.0
2.971 0.000 0.000
0.000 2.971 0.000
0.000 0.000 7.616
Ni Mo Pb
1 2 1
direct
0.000 0.000 0.000
0.500 0.500 0.204
0.500 0.500 0.796
0.000 0.000 0.500
```

Calculated values
total magnetic moment: 0.000 μB/atom
formation energy from the elements: 0.596 eV per atom
VASP energy: -7.19 eV per atom

Computed, not measured: TlNiMo2Pb after structural relaxation at the PBE level of DFT.

Structure (POSCAR):
```
TlNiMo2Pb
1.0
5.269 0.000 0.000
0.000 5.269 0.000
0.000 0.000 5.654
Tl Ni Mo Pb
1 1 2 1
direct
0.000 0.000 0.000
0.500 0.500 0.500
0.000 0.500 0.000
0.500 0.000 0.000
0.000 0.000 0.500
```

Calculated values
total magnetic moment: 1.475 μB/atom
formation energy from the elements: 2.467 eV per atom
VASP energy: -4.24 eV per atom